This record from Alexandria describes a relaxed structure of Ba2ZnRh. The functional is PBE.

Values from the calculation:
The formation enthalpy at 0 K comes out at -194 meV per atom. The crystal system is orthorhombic. Its total magnetization is 0.00 μB/atom.

a b c (Å): 8.205 8.205 8.205
angles (deg): 148.29 148.05 45.63
Fractional coordinates of all 4 atoms:
Ba  0.999  0.999  0.000
Ba  0.760  0.260  0.500
Zn  0.334  0.834  0.500
Rh  0.407  0.407  0.000